1.
A plane-wave DFT calculation with meta-GGA SCAN was carried out for Cu2Ag2O3 at its PBEsol-relaxed geometry.

```
Cu2Ag2O3
1.0
-2.932 2.932 5.277
2.932 -2.932 5.277
2.932 2.932 -5.277
Cu Ag O
4 4 6
Cartesian
0.000 0.000 0.000
1.466 1.466 -2.638
1.466 -1.466 2.638
0.000 2.932 0.000
2.932 0.000 0.000
-1.466 1.466 2.638
0.000 0.000 5.277
1.466 1.466 2.638
2.932 1.466 -1.442
2.932 -1.466 3.958
0.000 1.466 1.196
2.932 1.466 4.081
0.000 4.397 1.319
0.000 1.466 6.719
```

Properties
Its formation energy (no corrections) is -3.7 eV per formula unit. The space-group type is I4_1/amd, No. 141. The uncorrected energy comes out at -16.502 eV/atom. The total magnetization is 0.2870 μB/atom.



2.
A plane-wave DFT calculation with meta-GGA SCAN was carried out for Cu2AgO4 at its PBEsol-relaxed geometry.

```
Cu2AgO4
1.0
3.726 0.000 0.000
0.440 4.418 0.000
0.233 0.506 5.189
Cu Ag O
2 1 4
Cartesian
0.000 0.000 0.000
2.083 2.209 0.000
0.336 2.462 2.595
1.255 3.612 4.008
1.462 3.442 1.203
2.936 1.482 3.987
3.143 1.311 1.181
```

Properties
Its formation energy (no corrections) is -3.3 eV per formula unit. The space-group type is P-1, No. 2. The uncorrected energy comes out at -12.858 eV/atom. The total magnetization is 0.0006 μB/atom.



3.
A plane-wave DFT calculation with meta-GGA SCAN was carried out for CuAgPO4 at its PBEsol-relaxed geometry.

```
CuAgPO4
1.0
7.831 0.000 0.000
0.000 5.525 0.000
-0.942 0.000 7.513
Cu Ag P O
4 4 4 16
Cartesian
0.396 0.666 2.715
-0.075 2.097 6.472
6.964 3.428 1.041
6.493 4.860 4.797
2.759 0.721 5.225
3.229 2.042 1.469
3.660 3.483 6.043
4.131 4.805 2.287
1.309 3.426 3.806
1.780 4.862 0.050
5.109 0.663 7.463
5.580 2.099 3.707
-0.380 3.887 7.336
0.091 4.401 3.579
0.819 0.342 6.363
1.290 2.421 2.607
1.640 0.072 1.395
1.169 2.690 5.152
3.098 4.071 0.071
2.627 4.217 3.827
4.263 1.309 3.685
3.792 1.454 7.441
5.721 2.835 2.361
5.250 5.453 6.117
5.600 3.104 4.906
6.071 5.184 1.149
6.799 1.124 3.933
7.270 1.638 0.177
```

Properties
Its formation energy (no corrections) is -10.8 eV per formula unit. The space-group type is P2_1/c, No. 14. The uncorrected energy comes out at -13.244 eV/atom. The total magnetization is 0.1423 μB/atom.



4.
A plane-wave DFT calculation with meta-GGA SCAN was carried out for CuAgPO4 at its PBEsol-relaxed geometry.

```
CuAgPO4
1.0
5.502 0.000 0.000
0.000 7.622 0.000
0.000 0.000 15.754
Cu Ag P O
8 8 8 32
Cartesian
0.609 1.410 0.334
0.609 2.402 8.210
2.142 5.221 0.334
2.142 6.213 8.210
3.359 1.410 7.543
3.359 2.402 15.420
4.893 5.221 7.543
4.893 6.213 15.420
0.657 5.099 11.270
0.657 6.335 3.394
2.094 1.287 11.270
2.094 2.524 3.394
3.408 5.099 12.360
3.408 6.335 4.483
4.845 1.287 12.360
4.845 2.524 4.483
0.525 0.106 6.102
0.525 3.706 13.979
2.226 3.917 6.102
2.226 7.517 13.979
3.276 0.106 1.774
3.276 3.706 9.651
4.977 3.917 1.774
4.977 7.517 9.651
0.276 1.230 9.696
0.276 2.581 1.819
0.278 4.985 0.956
0.278 6.449 8.833
0.690 0.615 4.659
0.690 3.197 12.536
0.839 0.103 14.661
0.839 3.708 6.784
1.912 3.914 14.661
1.912 7.519 6.784
2.061 4.426 4.659
2.061 7.008 12.536
2.473 1.173 0.956
2.473 2.638 8.833
2.475 5.041 9.696
2.475 6.392 1.819
3.027 1.230 13.934
3.027 2.581 6.057
3.029 4.985 6.921
3.029 6.449 14.798
3.441 0.615 3.217
3.441 3.197 11.094
3.590 0.103 8.969
3.590 3.708 1.093
4.663 3.914 8.969
4.663 7.519 1.093
4.812 4.426 3.217
4.812 7.008 11.094
5.224 1.173 6.921
5.224 2.638 14.798
5.226 5.041 13.934
5.226 6.392 6.057
```

Properties
Its formation energy (no corrections) is -10.8 eV per formula unit. The space-group type is Pbca, No. 61. The uncorrected energy comes out at -13.245 eV/atom. The total magnetization is 0.1431 μB/atom.



5.
A plane-wave DFT calculation with meta-GGA SCAN was carried out for CuAg2P4O12 at its PBEsol-relaxed geometry.

```
CuAg2P4O12
1.0
4.774 -6.593 0.000
4.774 6.593 0.000
-0.755 0.000 7.712
Cu Ag P O
2 4 8 24
Cartesian
4.208 4.791 5.784
4.586 -4.791 1.928
2.938 2.095 2.487
2.560 -2.095 6.343
6.233 2.095 1.369
5.856 -2.095 5.225
0.774 1.003 5.180
1.151 -1.003 1.325
3.110 1.999 6.754
5.306 1.999 4.813
3.488 -1.999 2.899
5.683 -1.999 0.957
7.643 1.003 6.387
8.020 -1.003 2.531
1.196 1.849 4.025
0.975 0.481 1.134
2.906 3.445 6.340
4.586 4.937 1.928
0.597 -0.481 4.990
1.799 1.167 6.414
1.573 -1.849 0.169
4.202 1.694 0.467
2.177 -1.167 2.559
5.510 3.445 5.227
4.208 1.326 5.784
4.970 1.694 3.389
3.824 -1.694 4.323
4.586 -1.326 1.928
3.283 -3.445 2.484
6.617 1.167 5.153
4.592 -1.694 7.244
7.221 1.849 7.542
6.995 -1.167 1.297
8.197 0.481 2.722
4.208 -4.937 5.784
5.888 -3.445 1.371
7.819 -0.481 6.578
7.598 -1.849 3.686
```

Properties
Its formation energy (no corrections) is -35.9 eV per formula unit. The space-group type is C2/c, No. 15. The uncorrected energy comes out at -12.118 eV/atom. The total magnetization is 0.0528 μB/atom.



6.
A plane-wave DFT calculation with meta-GGA SCAN was carried out for Rb6CuAgO4 at its PBEsol-relaxed geometry.

```
Rb6CuAgO4
1.0
8.965 0.000 0.000
0.000 8.965 0.000
0.000 0.000 13.895
Rb Cu Ag O
24 4 4 16
Cartesian
0.204 4.223 3.434
0.324 0.593 3.448
0.503 4.981 0.000
0.593 8.642 13.869
1.212 6.850 5.394
2.115 1.212 8.867
2.395 5.970 8.383
2.995 2.395 11.857
3.940 4.168 3.483
3.984 0.503 3.474
4.168 5.025 0.009
4.223 8.761 13.856
4.742 0.204 6.908
4.797 3.940 6.956
4.981 8.462 10.421
5.025 4.797 10.430
5.970 6.570 4.909
6.570 2.995 1.435
6.850 7.754 1.920
7.754 2.115 12.341
8.373 0.324 6.922
8.462 3.984 6.948
8.642 8.373 10.395
8.761 4.742 10.382
2.103 2.357 1.157
2.357 6.862 11.578
6.609 2.103 4.630
6.862 6.609 8.104
2.132 2.371 5.776
2.371 6.834 2.302
6.594 2.132 9.250
6.834 6.594 12.724
0.301 2.352 1.130
0.370 6.867 2.374
2.099 0.370 5.848
2.131 4.375 5.778
2.352 8.664 11.551
2.384 5.069 11.543
3.896 2.384 1.122
4.375 6.835 2.304
4.591 2.131 9.252
5.069 6.581 8.070
6.581 3.896 4.596
6.614 0.301 4.604
6.835 4.591 12.725
6.867 8.595 12.795
8.595 2.099 9.321
8.664 6.614 8.078
```

Properties
Its formation energy (no corrections) is -13.3 eV per formula unit. The space-group type is P4_1, No. 76. The uncorrected energy comes out at -17.434 eV/atom. The total magnetization is 0.0109 μB/atom.



7.
A plane-wave DFT calculation with meta-GGA SCAN was carried out for Cu2AgS2O10 at its PBEsol-relaxed geometry.

```
Cu2AgS2O10
1.0
3.809 -3.123 0.000
3.809 3.123 0.000
-2.811 0.000 7.293
Cu Ag S O
2 1 2 10
Cartesian
1.905 1.561 0.000
1.905 -1.561 0.000
-1.406 0.000 3.646
1.263 0.000 5.291
3.544 0.000 2.002
0.579 0.000 0.335
2.718 1.226 1.758
0.780 0.000 3.912
0.122 0.000 6.261
2.089 1.226 5.535
2.718 -1.226 1.758
4.686 0.000 1.032
4.027 0.000 3.381
2.089 -1.226 5.535
4.228 0.000 6.958
```

Properties
Its formation energy (no corrections) is -15.4 eV per formula unit. The space-group type is C2/m, No. 12. The uncorrected energy comes out at -10.585 eV/atom. The total magnetization is 0.2030 μB/atom.



8.
A plane-wave DFT calculation with meta-GGA SCAN was carried out for SrCu2AgO at its PBEsol-relaxed geometry.

```
SrCu2AgO
1.0
5.252 0.000 0.000
0.000 5.252 0.000
0.000 0.000 4.183
Sr Cu Ag O
1 2 1 1
Cartesian
0.000 0.000 0.000
0.000 2.626 0.000
2.626 0.000 0.000
2.626 2.626 2.091
0.000 0.000 2.091
```

Properties
Its formation energy (no corrections) is 4.1 eV per formula unit. The space-group type is P4/mmm, No. 123. The uncorrected energy comes out at -17.243 eV/atom. The total magnetization is 0.0000 μB/atom.



Question: What is the formula in the fifth record?
Answer: CuAg2P4O12



Question: What is the formula in the seventh record?
Answer: Cu2AgS2O10



Question: Among the records above, which one has the lowest uncorrected energy?
Answer: Rb6CuAgO4



Question: Which of these has the lowest total magnetization?
Answer: SrCu2AgO